GGA+U Li4V5Ni3O16, relaxed; crystal system = triclinic; VASP energy = -6.5143 eV per atom
1.0
5.890 0.032 -0.050
-2.904 5.095 0.039
-0.064 -0.052 9.565
Li V Ni O
4 5 3 16
direct
0.342 0.645 0.901
0.995 0.004 0.989
0.991 0.997 0.495
0.680 0.341 0.400
0.178 0.359 0.221
0.653 0.855 0.217
0.810 0.169 0.739
0.328 0.658 0.501
0.645 0.350 0.000
0.163 0.835 0.211
0.344 0.164 0.706
0.831 0.651 0.706
0.184 0.352 0.587
0.483 0.525 0.343
0.326 0.652 0.103
0.001 0.026 0.305
0.992 0.005 0.793
0.648 0.821 0.587
0.053 0.525 0.349
0.499 0.968 0.339
0.819 0.178 0.098
0.176 0.823 0.582
0.531 0.014 0.844
0.975 0.457 0.842
0.688 0.304 0.605
0.326 0.179 0.094
0.533 0.466 0.849
0.806 0.675 0.101